Entry 1:
Computed, not measured: crystalline Sc4PCS2 at its relaxed geometry at the PBE level of DFT.

Unit cell a=6.2877 b=3.5859 c=6.3310 alpha=90.00 beta=108.97 gamma=90.00
Atoms (fractional coordinates):
Sc (0.2203, 0.0000, 0.2169)
Sc (0.2340, 0.5000, 0.7733)
Sc (0.7660, 0.5000, 0.2267)
Sc (0.7797, 0.0000, 0.7831)
P (0.5000, 0.0000, 0.0000)
C (0.0000, 0.5000, 0.0000)
S (0.0000, 0.0000, 0.5000)
S (0.5000, 0.5000, 0.5000)

## Properties
Density of states at the Fermi level in states/eV per cell: 1.69
Raw formation energy in eV/atom: -1.51
Symmetry: No. 10

Entry 2:
Computed, not measured: crystalline Sc6PC2S3 at its relaxed geometry at the PBE level of DFT.

Unit cell a=6.1598 b=6.1598 c=6.3177 alpha=99.42 beta=99.42 gamma=119.92
Atoms (fractional coordinates):
Sc (0.0686, 0.4274, 0.7829)
Sc (0.2133, 0.2133, 0.2149)
Sc (0.4274, 0.0686, 0.7829)
Sc (0.5726, 0.9314, 0.2171)
Sc (0.7867, 0.7867, 0.7851)
Sc (0.9314, 0.5726, 0.2171)
P (0.5000, 0.5000, 0.0000)
C (0.1671, 0.8329, 0.0000)
C (0.8329, 0.1671, 0.0000)
S (0.0000, 0.0000, 0.5000)
S (0.3390, 0.6610, 0.5000)
S (0.6610, 0.3390, 0.5000)

## Properties
Density of states at the Fermi level in states/eV per cell: 3.25
Raw formation energy in eV/atom: -1.45
Symmetry: No. 12

Entry 3:
Computed, not measured: crystalline ScPCS2 at its relaxed geometry at the PBE level of DFT.

Unit cell a=4.3061 b=4.3061 c=3.9062 alpha=90.00 beta=90.00 gamma=90.00
Atoms (fractional coordinates):
Sc (0.0000, 0.0000, 0.0000)
P (0.5000, 0.5000, 0.0000)
C (0.5000, 0.5000, 0.5000)
S (0.0000, 0.5000, 0.5000)
S (0.5000, 0.0000, 0.5000)

## Properties
Density of states at the Fermi level in states/eV per cell: 2.17
Raw formation energy in eV/atom: 0.34
E above lowest polymorph in meV per atom: 0
Symmetry: No. 123

Entry 4:
Computed, not measured: crystalline ScPCS2 at its relaxed geometry at the PBE level of DFT.

Unit cell a=4.8142 b=4.8142 c=5.0609 alpha=90.00 beta=90.00 gamma=90.00
Atoms (fractional coordinates):
Sc (0.0000, 0.0000, 0.0000)
P (0.0000, 0.0000, 0.5000)
C (0.5000, 0.5000, 0.5000)
S (0.0000, 0.5000, 0.0000)
S (0.5000, 0.0000, 0.0000)

## Properties
Density of states at the Fermi level in states/eV per cell: 7.13
Raw formation energy in eV/atom: 1.45
E above lowest polymorph in meV per atom: 1107
Symmetry: No. 123

Entry 5:
Computed, not measured: crystalline ScP2CS at its relaxed geometry at the PBE level of DFT.

Unit cell a=3.8935 b=3.8935 c=4.9313 alpha=90.00 beta=90.00 gamma=90.00
Atoms (fractional coordinates):
Sc (0.0000, 0.0000, 0.0000)
P (0.0000, 0.5000, 0.5000)
P (0.5000, 0.0000, 0.5000)
C (0.5000, 0.5000, 0.5000)
S (0.5000, 0.5000, 0.0000)

## Properties
Density of states at the Fermi level in states/eV per cell: 2.44
Raw formation energy in eV/atom: 0.44
E above lowest polymorph in meV per atom: 0
Symmetry: No. 123

Entry 6:
Computed, not measured: crystalline ScP2CS at its relaxed geometry at the PBE level of DFT.

Unit cell a=4.9985 b=4.9985 c=4.7804 alpha=90.00 beta=90.00 gamma=90.00
Atoms (fractional coordinates):
Sc (0.0000, 0.0000, 0.0000)
P (0.0000, 0.5000, 0.0000)
P (0.5000, 0.0000, 0.0000)
C (0.5000, 0.5000, 0.5000)
S (0.0000, 0.0000, 0.5000)

## Properties
Density of states at the Fermi level in states/eV per cell: 5.87
Raw formation energy in eV/atom: 1.65
E above lowest polymorph in meV per atom: 1215
Symmetry: No. 123

Entry 7:
Computed, not measured: crystalline PCSe2S at its relaxed geometry at the PBE level of DFT.

Unit cell a=5.0118 b=5.0118 c=3.3894 alpha=90.00 beta=90.00 gamma=90.00
Atoms (fractional coordinates):
P (0.0000, 0.0000, 0.0000)
C (0.0000, 0.0000, 0.5000)
Se (0.0000, 0.5000, 0.0000)
Se (0.5000, 0.0000, 0.0000)
S (0.5000, 0.5000, 0.5000)

## Properties
Density of states at the Fermi level in states/eV per cell: 3.40
Raw formation energy in eV/atom: 1.19
Symmetry: No. 123

Entry 8:
Computed, not measured: crystalline PCSeS2 at its relaxed geometry at the PBE level of DFT.

Unit cell a=4.0480 b=4.0480 c=4.4571 alpha=90.00 beta=90.00 gamma=90.00
Atoms (fractional coordinates):
P (0.0000, 0.0000, 0.0000)
C (0.0000, 0.0000, 0.5000)
Se (0.5000, 0.5000, 0.0000)
S (0.0000, 0.5000, 0.5000)
S (0.5000, 0.0000, 0.5000)

## Properties
Density of states at the Fermi level in states/eV per cell: 2.80
Raw formation energy in eV/atom: 1.32
E above lowest polymorph in meV per atom: 0
Symmetry: No. 123

Entry 9:
Computed, not measured: crystalline P2CSeS at its relaxed geometry at the PBE level of DFT.

Unit cell a=4.2860 b=4.2860 c=3.9415 alpha=90.00 beta=90.00 gamma=90.00
Atoms (fractional coordinates):
P (0.0000, 0.5000, 0.0000)
P (0.5000, 0.0000, 0.0000)
C (0.0000, 0.0000, 0.0000)
Se (0.5000, 0.5000, 0.5000)
S (0.0000, 0.0000, 0.5000)

## Properties
Density of states at the Fermi level in states/eV per cell: 3.46
Raw formation energy in eV/atom: 1.27
E above lowest polymorph in meV per atom: 0
Symmetry: No. 123

Entry 10:
Computed, not measured: crystalline P2CSeS at its relaxed geometry at the PBE level of DFT.

Unit cell a=4.8317 b=4.8317 c=4.7185 alpha=90.00 beta=90.00 gamma=90.00
Atoms (fractional coordinates):
P (0.0000, 0.5000, 0.0000)
P (0.5000, 0.0000, 0.0000)
C (0.0000, 0.0000, 0.5000)
Se (0.5000, 0.5000, 0.0000)
S (0.5000, 0.5000, 0.5000)

## Properties
Density of states at the Fermi level in states/eV per cell: 5.13
Raw formation energy in eV/atom: 2.38
E above lowest polymorph in meV per atom: 1114
Symmetry: No. 123

Entry 11:
Computed, not measured: crystalline PCSeS2 at its relaxed geometry at the PBE level of DFT.

Unit cell a=4.7461 b=4.7461 c=4.8966 alpha=90.00 beta=90.00 gamma=90.00
Atoms (fractional coordinates):
P (0.0000, 0.0000, 0.0000)
C (0.5000, 0.5000, 0.0000)
Se (0.0000, 0.0000, 0.5000)
S (0.0000, 0.5000, 0.5000)
S (0.5000, 0.0000, 0.5000)

## Properties
Density of states at the Fermi level in states/eV per cell: 4.68
Raw formation energy in eV/atom: 2.25
E above lowest polymorph in meV per atom: 933
Symmetry: No. 123

Entry 12:
Computed, not measured: crystalline SiPCS2 at its relaxed geometry at the PBE level of DFT.

Unit cell a=4.0186 b=4.0186 c=4.2576 alpha=90.00 beta=90.00 gamma=90.00
Atoms (fractional coordinates):
Si (0.0000, 0.0000, 0.0000)
P (0.5000, 0.5000, 0.0000)
C (0.5000, 0.5000, 0.5000)
S (0.0000, 0.5000, 0.5000)
S (0.5000, 0.0000, 0.5000)

## Properties
Density of states at the Fermi level in states/eV per cell: 2.43
Raw formation energy in eV/atom: 1.25
E above lowest polymorph in meV per atom: 0
Symmetry: No. 123

The lowest raw formation energy belongs to which entry?
Sc4PCS2